Entry from Alexandria via LeMat-Bulk: a relaxed structure of Nd4YPu3S8 (PBE-GGA).

Cell and atoms, written as POSCAR:
```
Nd4YPu3S8
1.0
7.9916 0.0000 0.0000
0.0000 8.0357 0.0253
-3.9958 -3.9917 5.6538
Nd Y Pu S
4 1 3 8
Direct
0.5000 0.0000 0.0000
0.5000 0.0000 0.5000
0.0000 0.0000 0.0000
0.0000 0.0000 0.5000
0.0000 0.5000 0.0000
0.5000 0.5000 0.0000
0.5000 0.5000 0.5000
0.0000 0.5000 0.5000
0.2457 0.7388 0.9931
0.2457 0.7388 0.4914
0.2538 0.2613 0.5075
0.7474 0.7388 0.9931
0.2526 0.2612 0.0069
0.7462 0.7387 0.4925
0.7543 0.2612 0.5086
0.7543 0.2612 0.0069
```

- Total energy: -132.65 eV/cell
- Size of the total moment: 16.8 μB/f.u.
- Formation energy (no corrections): -1.94 eV/atom
- Crystal system: trigonal